Mg2TlIn: optimized geometry, GGA-PBEsol.

POSCAR file:
```
Mg2TlIn
1.0
4.699 0.000 0.000
0.000 4.699 0.000
-2.350 -2.350 4.207
Tl Mg In
1 2 1
Direct
0.500 0.500 0.000
0.750 0.250 0.500
0.250 0.750 0.500
0.000 0.000 0.000
```

Properties
The symmetry is I4/mmm, No. 139. The calculation puts the uncorrected energy at -2.35 eV per atom. The formation energy is -0.0917 eV per atom.

=====

ScMo2Se: optimized geometry, GGA-PBEsol.

POSCAR file:
```
ScMo2Se
1.0
-2.180 1.828 -0.926
-1.037 -2.189 1.757
1.175 4.745 6.603
Mo Sc Se
2 1 1
Direct
0.000 0.000 0.995
0.500 0.500 0.764
0.000 0.000 0.492
0.500 0.500 0.249
```

Properties
For the formation energy (no corrections), the calculation gives -0.030 eV/atom. The symmetry is Cmm2, No. 35. The calculation puts the uncorrected energy at -8.53 eV per atom.

=====

ScTiTe2I: optimized geometry, GGA-PBEsol.

POSCAR file:
```
ScTiTe2I
1.0
-0.809 4.910 1.035
-2.831 -1.521 5.001
5.141 0.219 2.977
I Sc Te Ti
1 1 2 1
Direct
0.000 0.000 0.000
0.500 0.000 0.000
0.000 0.000 0.500
0.000 0.500 0.000
0.500 0.500 0.500
```

Properties
For the formation energy (no corrections), the calculation gives 0.968 eV/atom. The symmetry is P4/mmm, No. 123. The calculation puts the uncorrected energy at -3.78 eV per atom.

=====

TiTlFe2I: optimized geometry, GGA-PBEsol.

POSCAR file:
```
TiTlFe2I
1.0
-1.016 -0.138 4.418
-3.832 -2.232 -0.951
2.695 -4.828 0.469
I Tl Fe Ti
1 1 2 1
Direct
0.500 0.500 0.500
0.000 0.000 0.500
0.000 0.500 0.000
0.500 0.000 0.000
0.000 0.000 0.000
```

Properties
For the formation energy (no corrections), the calculation gives 1.130 eV/atom. The symmetry is P4/mmm, No. 123. The calculation puts the uncorrected energy at -5.00 eV per atom.

=====

Zn2SbPt: optimized geometry, GGA-PBEsol.

POSCAR file:
```
Zn2SbPt
1.0
4.048 0.000 0.000
0.000 4.047 0.000
-2.024 -2.024 4.054
Pt Sb Zn
1 1 2
Direct
0.500 0.000 0.000
0.000 0.500 0.000
0.750 0.750 0.500
0.250 0.250 0.500
```

Properties
For the formation energy (no corrections), the calculation gives -0.080 eV/atom. The symmetry is I4/mmm, No. 139. The calculation puts the uncorrected energy at -3.75 eV per atom.

=====

YSi2: optimized geometry, GGA-PBEsol.

POSCAR file:
```
YSi2
1.0
-0.610 3.815 -0.029
-4.392 -2.643 1.971
3.491 0.594 4.805
Y Si
2 4
Direct
0.174 0.348 0.214
0.826 0.652 0.786
0.551 0.103 0.845
0.899 0.798 0.345
0.101 0.202 0.655
0.449 0.897 0.155
```

Properties
For the formation energy (no corrections), the calculation gives -0.648 eV/atom. The symmetry is C2/m, No. 12. The calculation puts the uncorrected energy at -6.75 eV per atom.

=====

> Which of these has the lowest uncorrected energy?

ScMo2Se

=====

> What is the uncorrected energy in the third record?

-3.78 eV per atom

=====

> What is the formula in the second record?

ScMo2Se